[1]
A plane-wave DFT calculation with PBE was carried out for crystalline Sc3S4 at its relaxed geometry.

Relative energy among the computed polymorphs in eV per atom: 0.039
Space-group type: C2/m, No. 12
Uncorrected formation energy in eV per formula unit: -13.33

abc: 3.691 6.442 7.090
angles: 116.03 105.09 90.00
Atoms (fractional coordinates):
S  0.366  0.016  0.733
S  0.124  0.444  0.249
S  0.876  0.556  0.751
Sc  0.265  0.276  0.529
Sc  0.735  0.724  0.471
S  0.634  0.984  0.267
Sc  0.000  0.000  0.000

---

[2]
A plane-wave DFT calculation with PBE was carried out for crystalline Sc3S2 at its relaxed geometry.

Relative energy among the computed polymorphs in eV per atom: 0.060
Space-group type: R-3c, No. 167
Uncorrected formation energy in eV per formula unit: -7.18

abc: 6.245 6.245 6.939
angles: 63.26 63.26 60.00
Atoms (fractional coordinates):
S  0.340  0.340  0.980
Sc  0.574  0.926  0.250
Sc  0.250  0.574  0.250
Sc  0.926  0.250  0.250
S  0.840  0.840  0.480
Sc  0.426  0.074  0.750
Sc  0.074  0.750  0.750
S  0.160  0.160  0.520
Sc  0.750  0.426  0.750
S  0.660  0.660  0.020

---

[3]
A plane-wave DFT calculation with PBE was carried out for crystalline Sc2S at its relaxed geometry.

Space-group type: P6_3mc, No. 186
Uncorrected formation energy in eV per formula unit: -3.69

abc: 3.552 3.551 11.384
angles: 90.00 90.00 120.01
Atoms (fractional coordinates):
Sc  0.250  0.499  0.870
Sc  0.584  0.167  0.637
S  0.583  0.166  0.004
Sc  0.916  0.833  0.137
Sc  0.250  0.501  0.370
S  0.917  0.834  0.504

---

[4]
A plane-wave DFT calculation with PBE was carried out for crystalline Sc4S at its relaxed geometry.

Relative energy among the computed polymorphs in eV per atom: 0.000
Space-group type: R-3m, No. 166
Uncorrected formation energy in eV per formula unit: -3.44

abc: 3.425 3.425 11.318
angles: 81.30 81.30 59.99
Atoms (fractional coordinates):
Sc  0.793  0.793  0.618
Sc  0.381  0.381  0.855
S  0.000  0.000  0.000
Sc  0.207  0.207  0.382
Sc  0.619  0.619  0.145

---

Question: What is the formula in the first record?
Answer: Sc3S4

---

Question: What is the uncorrected formation energy in the first record?
Answer: -13.33 eV per formula unit

---

Question: Number 4 is which compound?
Answer: Sc4S

---

Question: Among the records above, which one has the lowest uncorrected formation energy?
Answer: Sc3S4